# 1
Material: SrPW
Method: DFT, PBE
State: relaxed

Calculated values
- Formation energy from the elements: -0.01 eV per atom
- Uncorrected energy: -20.08 eV for the cell shown
- Magnetic moment: 0.0 μB/f.u.
- Energy above the lowest structure with this stoichiometry: 37.0 kJ per mole of atoms

Unit cell a=6.226 b=6.226 c=6.226 alpha=149.27 beta=149.27 gamma=44.01
Element x y z (fractional)
Sr: 0.333 0.333 0.000
P: 0.045 0.045 0.000
W: 0.622 0.622 0.000

# 2
Material: DyMgAlGa
Method: DFT, PBE
State: relaxed

Calculated values
- Formation energy from the elements: -0.28 eV per atom
- Uncorrected energy: -14.08 eV for the cell shown
- Magnetic moment: 0.0 μB/f.u.

Unit cell a=4.927 b=4.927 c=4.927 alpha=60.00 beta=60.00 gamma=60.00
Element x y z (fractional)
Mg: 0.250 0.250 0.250
Al: 0.500 0.500 0.500
Ga: 0.000 0.000 0.000
Dy: 0.750 0.750 0.750

# 3
Material: CsBaNdCl6
Method: DFT, PBE
State: relaxed

Calculated values
- ΔE_f (raw): -2313 meV per atom
- Uncorrected energy: -78.89 eV for the cell shown
- Magnetic moment: 0.0 μB/f.u.

Unit cell a=7.848 b=7.848 c=14.373 alpha=90.00 beta=90.00 gamma=120.00
Element x y z (fractional)
Cs: 0.000 0.000 0.000
Cs: 0.000 0.000 0.500
Ba: 0.333 0.667 0.250
Ba: 0.667 0.333 0.750
Nd: 0.667 0.333 0.250
Nd: 0.333 0.667 0.750
Cl: 0.643 0.611 0.142
Cl: 0.968 0.357 0.142
Cl: 0.357 0.968 0.642
Cl: 0.032 0.643 0.858
Cl: 0.389 0.357 0.358
Cl: 0.968 0.611 0.358
Cl: 0.611 0.968 0.858
Cl: 0.643 0.032 0.358
Cl: 0.032 0.389 0.642
Cl: 0.389 0.032 0.142
Cl: 0.611 0.643 0.642
Cl: 0.357 0.389 0.858

# 4
Material: InNiAu2
Method: DFT, PBE
State: relaxed

Calculated values
- Formation energy from the elements: 0.01 eV per atom
- Uncorrected energy: -15.04 eV for the cell shown
- Magnetic moment: 0.0 μB/f.u.

Unit cell a=3.218 b=3.218 c=6.676 alpha=90.00 beta=90.00 gamma=89.99
Element x y z (fractional)
Au: 0.000 0.000 0.969
Au: 0.000 0.000 0.531
In: 0.500 0.500 0.250
Ni: 0.500 0.500 0.750

# 5
Material: Nd2ZnCuPt6
Method: DFT, PBE
State: relaxed

Calculated values
- Formation energy from the elements: -0.24 eV per atom
- Uncorrected energy: -53.51 eV for the cell shown
- Magnetic moment: 0.0 μB/f.u.

Unit cell a=6.629 b=6.629 c=6.629 alpha=60.00 beta=60.00 gamma=90.00
Element x y z (fractional)
Nd: 0.250 0.750 0.500
Nd: 0.750 0.250 0.500
Zn: 0.500 0.500 0.000
Cu: 0.000 0.000 0.000
Pt: 0.250 0.750 0.000
Pt: 0.750 0.750 0.000
Pt: 0.250 0.250 0.501
Pt: 0.750 0.250 0.000
Pt: 0.250 0.250 0.000
Pt: 0.750 0.750 0.499

# 6
Material: Y2InRu2
Method: DFT, PBE
State: relaxed

Calculated values
- Formation energy from the elements: -0.37 eV per atom
- Uncorrected energy: -72.11 eV for the cell shown
- Magnetic moment: 0.0 μB/f.u.

Unit cell a=5.524 b=5.728 c=8.219 alpha=104.74 beta=90.00 gamma=118.83
Element x y z (fractional)
Y: 0.488 0.291 0.146
Y: 0.196 0.709 0.354
Y: 0.512 0.709 0.854
Y: 0.804 0.291 0.646
In: 0.847 0.000 0.250
In: 0.153 0.000 0.750
Ru: 0.699 0.714 0.490
Ru: 0.985 0.286 0.010
Ru: 0.301 0.286 0.510
Ru: 0.015 0.714 0.990

# 7
Material: SnHgBi3
Method: DFT, PBE
State: relaxed

Calculated values
- Formation energy from the elements: 0.63 eV per atom
- Uncorrected energy: -12.80 eV for the cell shown
- Magnetic moment: 0.0 μB/f.u.
- Energy above the lowest structure with this stoichiometry: 53.8 kJ per mole of atoms

Unit cell a=5.876 b=5.876 c=5.876 alpha=90.00 beta=90.00 gamma=90.00
Element x y z (fractional)
Bi: 0.000 0.500 0.000
Bi: 0.000 0.000 0.500
Bi: 0.500 0.000 0.000
Sn: 0.000 0.000 0.000
Hg: 0.500 0.500 0.500

# 8
Material: SiAgW
Method: DFT, PBE
State: relaxed

Calculated values
- ΔE_f (raw): 131 meV per atom
- Uncorrected energy: -41.67 eV for the cell shown
- Magnetic moment: 0.0 μB/f.u.
- Energy above the lowest structure with this stoichiometry: 0.0 kJ per mole of atoms

Unit cell a=3.145 b=3.145 c=9.677 alpha=90.00 beta=90.00 gamma=90.00
Element x y z (fractional)
W: 0.000 0.500 0.586
W: 0.500 0.000 0.414
Si: 0.500 0.000 0.720
Si: 0.000 0.500 0.280
Ag: 0.000 0.500 0.902
Ag: 0.500 0.000 0.098